This record from Alexandria via LeMat-Bulk describes an optimized crystal structure of K17Rb11Li. The functional is PBE-GGA.

Cell and atoms, written as extended XYZ:
```
29
Lattice="13.800 -0.031 -4.587 -6.834 11.989 -4.587 -0.029 -0.049 13.755" Properties=species:S:1:pos:R:3 pbc="T T T"
K 6.690 11.485 4.725
K 0.495 6.931 -3.830
K -0.776 7.868 4.794
K 0.815 8.650 0.364
K -0.005 -0.008 4.903
K 1.315 11.926 -2.883
K 4.340 7.451 2.798
K 10.877 4.315 7.330
K 2.613 4.486 6.158
K -1.951 3.764 6.758
K 5.785 3.850 -3.830
K 4.236 0.159 6.758
K 7.227 3.206 4.794
K 9.726 7.026 -2.883
K 7.123 4.976 0.364
K 4.806 8.251 -2.369
K -1.612 11.590 7.330
Rb 6.773 7.186 7.170
Rb 9.977 2.256 -1.857
Rb -5.449 9.905 4.855
Rb -2.959 9.792 -1.857
Rb 1.490 2.558 10.695
Rb 11.304 0.146 4.855
Rb -4.118 7.316 8.194
Rb 3.819 2.231 1.802
Rb 8.396 0.027 8.194
Rb 0.057 4.423 1.802
Rb 2.910 9.436 7.170
Li 3.159 5.422 -0.666
```

Properties
Electronic total energy ... -1.043 eV/atom
Space-group type ... Cm, No. 8
Total moment ... 0.00 μB per formula unit
Formation energy from the elements ... 0.033 eV/atom